The following is a GGA-PBE calculation of an optimized crystal structure of P3C5, from Alexandria.

Lattice parameters (Å, degrees): 8.791 8.791 2.583 90.00 90.00 145.57
Positions (direct):
P (0.000, 0.000, 0.000)
P (0.250, 0.750, 0.500)
P (0.750, 0.250, 0.500)
C (0.000, 0.500, 0.000)
C (0.287, 0.287, 0.500)
C (0.500, 0.000, 0.000)
C (0.500, 0.500, 0.000)
C (0.713, 0.713, 0.500)

Computed properties:
As for the energy relative to the lowest polymorph listed for this composition: 0.646 eV per atom. As for the total DFT energy (no corrections): -6.062 eV/atom. Its formation energy from the elements is 1.732 eV/atom.

The following is a GGA-PBE calculation of an optimized crystal structure of Mg2ZrBe, from Alexandria.

Lattice parameters (Å, degrees): 5.396 5.396 5.428 108.95 108.95 30.93
Positions (direct):
Mg (0.000, 0.000, 0.000)
Mg (0.223, 0.223, 0.801)
Zr (0.794, 0.794, 0.353)
Be (0.533, 0.533, 0.446)

Computed properties:
As for the total DFT energy (no corrections): -3.612 eV/atom. Its formation energy from the elements is 0.254 eV/atom.

- What is the formation energy from the elements in the second record?
  0.254 eV/atom